The following is a DFT calculation (PBE) of an optimized crystal structure of ZnCr2Hg.

Cell and atoms, written as extended XYZ:
```
4
Lattice="2.7869 0.0000 0.0000 0.0000 4.0941 0.0000 0.0000 0.0000 5.2980" Properties=species:S:1:pos:R:3 pbc="T T T"
Zn 0.0000 0.0000 0.0000
Cr 1.3935 2.0471 1.0038
Cr 1.3935 2.0471 4.2942
Hg 0.0000 0.0000 2.6490
```

Summary:
Its formation energy is 11.4 kcal/mol of atoms.

=====

The following is a DFT calculation (PBE) of an optimized crystal structure of ScCr2GaH.

Cell and atoms, written as extended XYZ:
```
5
Lattice="3.7857 0.0000 0.0000 0.0000 3.7857 0.0000 0.0000 0.0000 4.2074" Properties=species:S:1:pos:R:3 pbc="T T T"
Sc 0.0000 0.0000 0.0000
Cr 0.0000 1.8928 2.1037
Cr 1.8928 0.0000 2.1037
Ga 1.8928 1.8928 0.0000
H 0.0000 0.0000 2.1037
```

Summary:
Its total DFT energy (no corrections) is -6.385 eV/atom.

=====

The following is a DFT calculation (PBE) of an optimized crystal structure of LaPmSnRu.

Cell and atoms, written as extended XYZ:
```
4
Lattice="0.0000 3.7267 3.7267 3.7267 0.0000 3.7267 3.7267 3.7267 0.0000" Properties=species:S:1:pos:R:3 pbc="T T T"
La 0.0000 0.0000 0.0000
Pm 3.7267 3.7267 3.7267
Sn 5.5901 5.5901 5.5901
Ru 1.8634 1.8634 1.8634
```

Summary:
Its formation energy is -6.7 kcal/mol of atoms.

=====

| no. | size of the total moment (μB/atom) | DOS(E_F) (states/eV/f.u.) |
| --- | --- | --- |
| 1 | 0.011 | 4.06 |
| 2 | 0.000 | 4.49 |
| 3 | 0.000 | 2.53 |